[1]
# Sr3Si4Ag2 | the Alexandria database | PBE | optimized geometry
# Magnetic moment in μB per formula unit: 0.00
# Raw formation energy in kJ per mole of atoms: -38
data_Sr3Si4Ag2
_chemical_formula_sum 'Sr3 Si4 Ag2'
_space_group_name_H-M_alt 'P 1'
_space_group_IT_number 1
_space_group_name_Hall 'P 1'
_cell_length_a 6.3521
_cell_length_b 6.3521
_cell_length_c 8.8682
_cell_angle_alpha 97.32
_cell_angle_beta 97.32
_cell_angle_gamma 38.85
loop_
_atom_site_label
_atom_site_type_symbol
_atom_site_fract_x
_atom_site_fract_y
_atom_site_fract_z
_atom_site_occupancy
Sr1 Sr 0.0000 0.0000 0.0000 1
Sr2 Sr 0.3344 0.3344 0.3304 1
Sr3 Sr 0.6656 0.6656 0.6696 1
Si1 Si 0.0508 0.0508 0.3979 1
Si2 Si 0.2772 0.2772 0.9453 1
Si3 Si 0.7228 0.7228 0.0547 1
Si4 Si 0.9492 0.9492 0.6021 1
Ag1 Ag 0.3883 0.3883 0.7224 1
Ag2 Ag 0.6117 0.6117 0.2776 1

[2]
# Sr2SiAg2 | the Alexandria database | PBE | optimized geometry
# Energy above the lowest structure with this stoichiometry in eV/atom: 0.021
# Magnetic moment in μB per formula unit: 0.00
# Raw formation energy in kJ per mole of atoms: -12
data_Sr2SiAg2
_chemical_formula_sum 'Sr2 Si1 Ag2'
_space_group_name_H-M_alt 'P 1'
_space_group_IT_number 1
_space_group_name_Hall 'P 1'
_cell_length_a 5.8099
_cell_length_b 5.8099
_cell_length_c 5.8099
_cell_angle_alpha 115.74
_cell_angle_beta 115.74
_cell_angle_gamma 97.56
loop_
_atom_site_label
_atom_site_type_symbol
_atom_site_fract_x
_atom_site_fract_y
_atom_site_fract_z
_atom_site_occupancy
Sr1 Sr 0.2500 0.7500 0.5000 1
Sr2 Sr 0.7500 0.2500 0.5000 1
Si1 Si 0.0000 0.0000 0.0000 1
Ag1 Ag 0.3280 0.3280 0.0000 1
Ag2 Ag 0.6720 0.6720 0.0000 1

[3]
# SrSiAg2 | the Alexandria database | PBE | optimized geometry
# Magnetic moment in μB per formula unit: 0.00
# Raw formation energy in kJ per mole of atoms: -6
data_SrSiAg2
_chemical_formula_sum 'Sr2 Si2 Ag4'
_space_group_name_H-M_alt 'P 1'
_space_group_IT_number 1
_space_group_name_Hall 'P 1'
_cell_length_a 9.1456
_cell_length_b 9.1456
_cell_length_c 9.1456
_cell_angle_alpha 147.01
_cell_angle_beta 147.01
_cell_angle_gamma 47.36
loop_
_atom_site_label
_atom_site_type_symbol
_atom_site_fract_x
_atom_site_fract_y
_atom_site_fract_z
_atom_site_occupancy
Sr1 Sr 0.0000 0.0000 0.0000 1
Sr2 Sr 0.7500 0.2500 0.5000 1
Si1 Si 0.2500 0.7500 0.5000 1
Si2 Si 0.5000 0.5000 0.0000 1
Ag1 Ag 0.3090 0.6250 0.1840 1
Ag2 Ag 0.3750 0.5590 0.6840 1
Ag3 Ag 0.4410 0.1250 0.8160 1
Ag4 Ag 0.8750 0.6910 0.3160 1

[4]
# Sr4SiAg2 | the Alexandria database | PBE | optimized geometry
# Magnetic moment in μB per formula unit: 0.31
# Raw formation energy in kJ per mole of atoms: -10
data_Sr4SiAg2
_chemical_formula_sum 'Sr4 Si1 Ag2'
_space_group_name_H-M_alt 'P 1'
_space_group_IT_number 1
_space_group_name_Hall 'P 1'
_cell_length_a 8.8276
_cell_length_b 8.8276
_cell_length_c 8.8276
_cell_angle_alpha 139.37
_cell_angle_beta 139.37
_cell_angle_gamma 58.80
loop_
_atom_site_label
_atom_site_type_symbol
_atom_site_fract_x
_atom_site_fract_y
_atom_site_fract_z
_atom_site_occupancy
Sr1 Sr 0.0000 0.5000 0.5000 1
Sr2 Sr 0.1954 0.1954 0.0000 1
Sr3 Sr 0.5000 0.0000 0.5000 1
Sr4 Sr 0.8046 0.8046 0.0000 1
Si1 Si 0.0000 0.0000 0.0000 1
Ag1 Ag 0.4064 0.4064 0.0000 1
Ag2 Ag 0.5936 0.5936 0.0000 1

[5]
# SrSiAg4 | the Alexandria database | PBE | optimized geometry
# Magnetic moment in μB per formula unit: 0.00
# Raw formation energy in kJ per mole of atoms: -1
data_SrSiAg4
_chemical_formula_sum 'Sr1 Si1 Ag4'
_space_group_name_H-M_alt 'P 1'
_space_group_IT_number 1
_space_group_name_Hall 'P 1'
_cell_length_a 5.6413
_cell_length_b 5.6413
_cell_length_c 5.6413
_cell_angle_alpha 60.00
_cell_angle_beta 60.00
_cell_angle_gamma 60.00
loop_
_atom_site_label
_atom_site_type_symbol
_atom_site_fract_x
_atom_site_fract_y
_atom_site_fract_z
_atom_site_occupancy
Sr1 Sr 0.0000 0.0000 0.0000 1
Si1 Si 0.2500 0.2500 0.2500 1
Ag1 Ag 0.1257 0.6248 0.6248 1
Ag2 Ag 0.6248 0.1257 0.6248 1
Ag3 Ag 0.6248 0.6248 0.1257 1
Ag4 Ag 0.6248 0.6248 0.6248 1

[6]
# SrSiAg2 | the Alexandria database | PBE | optimized geometry
# Magnetic moment in μB per formula unit: 0.00
# Raw formation energy in kJ per mole of atoms: -16
data_SrSiAg2
_chemical_formula_sum 'Sr1 Si1 Ag2'
_space_group_name_H-M_alt 'P 1'
_space_group_IT_number 1
_space_group_name_Hall 'P 1'
_cell_length_a 4.5601
_cell_length_b 4.5601
_cell_length_c 6.0005
_cell_angle_alpha 112.43
_cell_angle_beta 112.43
_cell_angle_gamma 60.04
loop_
_atom_site_label
_atom_site_type_symbol
_atom_site_fract_x
_atom_site_fract_y
_atom_site_fract_z
_atom_site_occupancy
Sr1 Sr 0.0000 0.0000 0.0000 1
Si1 Si 0.2012 0.2012 0.6044 1
Ag1 Ag 0.5267 0.5267 0.5811 1
Ag2 Ag 0.8005 0.8005 0.4022 1

[7]
# SrSiAg2 | the Alexandria database | PBE | optimized geometry
# Magnetic moment in μB per formula unit: 0.00
# Raw formation energy in kJ per mole of atoms: -5
data_SrSiAg2
_chemical_formula_sum 'Sr1 Si1 Ag2'
_space_group_name_H-M_alt 'P 1'
_space_group_IT_number 1
_space_group_name_Hall 'P 1'
_cell_length_a 3.8759
_cell_length_b 4.5726
_cell_length_c 5.5561
_cell_angle_alpha 90.00
_cell_angle_beta 90.00
_cell_angle_gamma 90.00
loop_
_atom_site_label
_atom_site_type_symbol
_atom_site_fract_x
_atom_site_fract_y
_atom_site_fract_z
_atom_site_occupancy
Sr1 Sr 0.0000 0.0000 0.0000 1
Si1 Si 0.5000 0.0000 0.5000 1
Ag1 Ag 0.5000 0.5000 0.2545 1
Ag2 Ag 0.5000 0.5000 0.7455 1

[8]
# SrSi2AgTe6 | the Alexandria database | PBE | optimized geometry
# Magnetic moment in μB per formula unit: 0.00
# Raw formation energy in kJ per mole of atoms: -28
data_SrSi2AgTe6
_chemical_formula_sum 'Sr2 Si4 Ag2 Te12'
_space_group_name_H-M_alt 'P 1'
_space_group_IT_number 1
_space_group_name_Hall 'P 1'
_cell_length_a 9.8371
_cell_length_b 9.8371
_cell_length_c 7.3873
_cell_angle_alpha 104.09
_cell_angle_beta 104.09
_cell_angle_gamma 83.42
loop_
_atom_site_label
_atom_site_type_symbol
_atom_site_fract_x
_atom_site_fract_y
_atom_site_fract_z
_atom_site_occupancy
Sr1 Sr 0.1609 0.8391 0.7500 1
Sr2 Sr 0.8391 0.1609 0.2500 1
Si1 Si 0.2171 0.3583 0.7989 1
Si2 Si 0.3583 0.2171 0.2989 1
Si3 Si 0.6417 0.7829 0.7011 1
Si4 Si 0.7829 0.6417 0.2011 1
Ag1 Ag 0.4224 0.5776 0.2500 1
Ag2 Ag 0.5776 0.4224 0.7500 1
Te1 Te 0.0419 0.1726 0.6882 1
Te2 Te 0.1481 0.5905 0.0045 1
Te3 Te 0.1726 0.0419 0.1882 1
Te4 Te 0.2800 0.4455 0.5262 1
Te5 Te 0.4095 0.8519 0.4955 1
Te6 Te 0.4455 0.2800 0.0262 1
Te7 Te 0.5545 0.7200 0.9738 1
Te8 Te 0.5905 0.1481 0.5045 1
Te9 Te 0.7200 0.5545 0.4738 1
Te10 Te 0.8274 0.9581 0.8118 1
Te11 Te 0.8519 0.4095 0.9955 1
Te12 Te 0.9581 0.8274 0.3118 1

[9]
# SrYSiAg | the Alexandria database | PBE | optimized geometry
# Magnetic moment in μB per formula unit: 0.00
# Raw formation energy in kJ per mole of atoms: -32
data_SrYSiAg
_chemical_formula_sum 'Sr1 Y1 Si1 Ag1'
_space_group_name_H-M_alt 'P 1'
_space_group_IT_number 1
_space_group_name_Hall 'P 1'
_cell_length_a 5.2356
_cell_length_b 5.2356
_cell_length_c 5.2356
_cell_angle_alpha 60.00
_cell_angle_beta 60.00
_cell_angle_gamma 60.00
loop_
_atom_site_label
_atom_site_type_symbol
_atom_site_fract_x
_atom_site_fract_y
_atom_site_fract_z
_atom_site_occupancy
Sr1 Sr 0.0000 0.0000 0.0000 1
Y1 Y 0.5000 0.5000 0.5000 1
Si1 Si 0.7500 0.7500 0.7500 1
Ag1 Ag 0.2500 0.2500 0.2500 1

[10]
# Sr2Zn3Si4Ag | the Alexandria database | PBE | optimized geometry
# Magnetic moment in μB per formula unit: 0.00
# Raw formation energy in kJ per mole of atoms: -24
data_Sr2Zn3Si4Ag
_chemical_formula_sum 'Sr2 Zn3 Si4 Ag1'
_space_group_name_H-M_alt 'P 1'
_space_group_IT_number 1
_space_group_name_Hall 'P 1'
_cell_length_a 4.3296
_cell_length_b 4.3296
_cell_length_c 10.5694
_cell_angle_alpha 90.00
_cell_angle_beta 90.00
_cell_angle_gamma 90.00
loop_
_atom_site_label
_atom_site_type_symbol
_atom_site_fract_x
_atom_site_fract_y
_atom_site_fract_z
_atom_site_occupancy
Sr1 Sr 0.0000 0.5000 0.2481 1
Sr2 Sr 0.5000 0.0000 0.7519 1
Zn1 Zn 0.0000 0.5000 0.8683 1
Zn2 Zn 0.5000 0.0000 0.1317 1
Zn3 Zn 0.5000 0.5000 0.5000 1
Si1 Si 0.0000 0.0000 0.0000 1
Si2 Si 0.0000 0.5000 0.6354 1
Si3 Si 0.5000 0.0000 0.3646 1
Si4 Si 0.5000 0.5000 0.0000 1
Ag1 Ag 0.0000 0.0000 0.5000 1

[11]
# Sr2Zn4Si3Ag | the Alexandria database | PBE | optimized geometry
# Magnetic moment in μB per formula unit: 0.00
# Raw formation energy in kJ per mole of atoms: -27
data_Sr2Zn4Si3Ag
_chemical_formula_sum 'Sr2 Zn4 Si3 Ag1'
_space_group_name_H-M_alt 'P 1'
_space_group_IT_number 1
_space_group_name_Hall 'P 1'
_cell_length_a 4.2786
_cell_length_b 4.2786
_cell_length_c 10.8603
_cell_angle_alpha 90.00
_cell_angle_beta 90.00
_cell_angle_gamma 90.00
loop_
_atom_site_label
_atom_site_type_symbol
_atom_site_fract_x
_atom_site_fract_y
_atom_site_fract_z
_atom_site_occupancy
Sr1 Sr 0.0000 0.5000 0.2444 1
Sr2 Sr 0.5000 0.0000 0.7556 1
Zn1 Zn 0.0000 0.0000 0.0000 1
Zn2 Zn 0.0000 0.5000 0.6387 1
Zn3 Zn 0.5000 0.0000 0.3613 1
Zn4 Zn 0.5000 0.5000 0.0000 1
Si1 Si 0.0000 0.5000 0.8673 1
Si2 Si 0.5000 0.0000 0.1327 1
Si3 Si 0.5000 0.5000 0.5000 1
Ag1 Ag 0.0000 0.0000 0.5000 1

[12]
# TaSiAg2 | the Alexandria database | PBE | optimized geometry
# Magnetic moment in μB per formula unit: 0.00
# Raw formation energy in kJ per mole of atoms: 13
data_TaSiAg2
_chemical_formula_sum 'Ta1 Si1 Ag2'
_space_group_name_H-M_alt 'P 1'
_space_group_IT_number 1
_space_group_name_Hall 'P 1'
_cell_length_a 5.7762
_cell_length_b 5.7762
_cell_length_c 4.6923
_cell_angle_alpha 113.86
_cell_angle_beta 113.86
_cell_angle_gamma 28.29
loop_
_atom_site_label
_atom_site_type_symbol
_atom_site_fract_x
_atom_site_fract_y
_atom_site_fract_z
_atom_site_occupancy
Ta1 Ta 0.0000 0.0000 0.0000 1
Si1 Si 0.5000 0.5000 0.5000 1
Ag1 Ag 0.2298 0.2298 0.7299 1
Ag2 Ag 0.7702 0.7702 0.2701 1

[13]
# TaSiAg | the Alexandria database | PBE | optimized geometry
# Magnetic moment in μB per formula unit: 0.00
# Raw formation energy in kJ per mole of atoms: 15
data_TaSiAg
_chemical_formula_sum 'Ta1 Si1 Ag1'
_space_group_name_H-M_alt 'P 1'
_space_group_IT_number 1
_space_group_name_Hall 'P 1'
_cell_length_a 2.8946
_cell_length_b 2.8946
_cell_length_c 6.9463
_cell_angle_alpha 90.00
_cell_angle_beta 90.00
_cell_angle_gamma 120.00
loop_
_atom_site_label
_atom_site_type_symbol
_atom_site_fract_x
_atom_site_fract_y
_atom_site_fract_z
_atom_site_occupancy
Ta1 Ta 0.0000 0.0000 0.0000 1
Si1 Si 0.6667 0.3333 0.6872 1
Ag1 Ag 0.3333 0.6667 0.3599 1

[14]
# TaSiAg2 | the Alexandria database | PBE | optimized geometry
# Magnetic moment in μB per formula unit: 0.00
# Raw formation energy in kJ per mole of atoms: 27
data_TaSiAg2
_chemical_formula_sum 'Ta1 Si1 Ag2'
_space_group_name_H-M_alt 'P 1'
_space_group_IT_number 1
_space_group_name_Hall 'P 1'
_cell_length_a 5.4063
_cell_length_b 5.4063
_cell_length_c 5.4063
_cell_angle_alpha 138.74
_cell_angle_beta 138.74
_cell_angle_gamma 59.78
loop_
_atom_site_label
_atom_site_type_symbol
_atom_site_fract_x
_atom_site_fract_y
_atom_site_fract_z
_atom_site_occupancy
Ta1 Ta 0.0000 0.0000 0.0000 1
Si1 Si 0.5000 0.5000 0.0000 1
Ag1 Ag 0.2500 0.7500 0.5000 1
Ag2 Ag 0.7500 0.2500 0.5000 1